1.
The following is a DFT calculation (PBE) of a geometry-optimized SmGdCuSi structure.

Cell: 5.015 5.015 5.015 Å, 60.00 60.00 60.00°
Element x y z (fractional)
Cu 0.250 0.250 0.250
Si 0.750 0.750 0.750
Gd 0.000 0.000 0.000
Sm 0.500 0.500 0.500

Results
- uncorrected formation energy (kcal/mol of atoms) = -9.4
- symmetry = F-43m (216)


2.
The following is a DFT calculation (PBE) of a geometry-optimized La2EuGe structure.

Cell: 4.802 4.941 4.941 Å, 90.00 90.00 90.00°
Element x y z (fractional)
Ge 0.500 0.500 0.500
La 0.000 0.500 0.000
La 0.000 0.000 0.500
Eu 0.500 0.000 0.000

Results
- distance to the lowest polymorph of the same formula (meV per atom) = 18.6
- symmetry = P4/mmm (123)
- calculated formation energy (meV per atom) = -341


3.
The following is a DFT calculation (PBE) of a geometry-optimized Be2CoAg structure.

Cell: 7.685 7.685 7.685 Å, 19.95 19.95 19.95°
Element x y z (fractional)
Ag 0.750 0.750 0.750
Be 0.510 0.510 0.510
Co 0.250 0.250 0.250
Be 0.990 0.990 0.990

Results
- distance to the lowest polymorph of the same formula (meV per atom) = 299.1
- symmetry = R-3m (166)
- calculated formation energy (meV per atom) = 177


4.
The following is a DFT calculation (PBE) of a geometry-optimized SmScZnFe structure.

Cell: 4.817 4.817 4.817 Å, 60.00 60.00 60.00°
Element x y z (fractional)
Sm 0.750 0.750 0.750
Zn 0.000 0.000 0.000
Fe 0.500 0.500 0.500
Sc 0.250 0.250 0.250

Results
- symmetry = F-43m (216)
- calculated formation energy (meV per atom) = -64


5.
The following is a DFT calculation (PBE) of a geometry-optimized Ta3Be8Os structure.

Cell: 4.524 4.524 7.430 Å, 90.00 90.00 120.00°
Element x y z (fractional)
Be 0.333 0.667 0.499
Os 0.000 0.000 0.565
Be 0.333 0.667 0.997
Be 0.503 0.497 0.748
Be 0.673 0.837 0.252
Ta 0.000 0.000 0.928
Be 0.163 0.837 0.252
Ta 0.667 0.333 0.443
Be 0.163 0.327 0.252
Be 0.503 0.006 0.748
Be 0.994 0.497 0.748
Ta 0.667 0.333 0.068

Results
- symmetry = P3m1 (156)
- calculated formation energy (meV per atom) = -342


6.
The following is a DFT calculation (PBE) of a geometry-optimized KN2Cl structure.

Cell: 5.054 5.054 5.054 Å, 60.00 60.00 60.00°
Element x y z (fractional)
N 0.750 0.750 0.750
K 0.500 0.500 0.500
Cl 0.000 0.000 0.000
N 0.250 0.250 0.250

Results
- distance to the lowest polymorph of the same formula (meV per atom) = 2578.1
- uncorrected formation energy (kcal/mol of atoms) = 38.5
- symmetry = Fm-3m (225)


7.
The following is a DFT calculation (PBE) of a geometry-optimized Dy3Y6Er2In structure.

Cell: 6.107 6.107 11.623 Å, 95.05 95.05 120.03°
Element x y z (fractional)
Y 0.410 0.081 0.246
Y 0.590 0.919 0.754
Y 0.081 0.410 0.246
Y 0.247 0.247 0.753
In 0.000 0.000 0.000
Dy 0.500 0.500 0.500
Y 0.919 0.590 0.754
Er 0.666 0.334 0.000
Er 0.334 0.666 0.000
Dy 0.833 0.167 0.500
Dy 0.167 0.833 0.500
Y 0.753 0.753 0.247

Results
- symmetry = C2/m (12)
- calculated formation energy (meV per atom) = -36


8.
The following is a DFT calculation (PBE) of a geometry-optimized Li2CaYHg structure.

Cell: 5.184 5.184 5.714 Å, 90.00 90.00 90.00°
Element x y z (fractional)
Hg 0.000 0.000 0.000
Ca 0.500 0.500 0.500
Y 0.000 0.000 0.500
Li 0.000 0.500 0.000
Li 0.500 0.000 0.000

Results
- symmetry = P4/mmm (123)
- calculated formation energy (meV per atom) = 59